[1]
{
  "formula": "CrFeBr2",
  "functional": "PBE",
  "state": "optimized geometry",
  "relative_energy_ev_per_atom": 0.326,
  "sg": "P2/m (10)",
  "formation_energy_uncorrected_kj_per_mol_fu": 150,
  "lattice": [[-0.611, 2.607, -2.258], [-6.179, -0.649, 0.922], [-3.859, 2.020, 3.377]],
  "species": ["Br", "Br", "Cr", "Fe"],
  "frac_coords": [[0.000, 0.000, 0.000], [0.500, 0.500, 0.000], [0.500, 0.500, 0.500], [0.000, 0.000, 0.500]]
}

***

[2]
{
  "formula": "Ac3OsCl3",
  "functional": "PBE",
  "state": "optimized geometry",
  "sg": "P2_1/m (11)",
  "formation_energy_uncorrected_kj_per_mol_fu": -966,
  "lattice": [[4.453, 0.000, 0.000], [0.000, 9.281, -0.546], [0.000, -0.107, 12.557]],
  "species": ["Ac", "Ac", "Ac", "Ac", "Ac", "Ac", "Os", "Os", "Cl", "Cl", "Cl", "Cl", "Cl", "Cl"],
  "frac_coords": [[0.250, 0.335, 0.623], [0.750, 0.665, 0.377], [0.250, 0.905, 0.612], [0.750, 0.095, 0.388], [0.250, 0.863, 0.149], [0.750, 0.137, 0.851], [0.250, 0.879, 0.372], [0.750, 0.121, 0.628], [0.250, 0.396, 0.383], [0.750, 0.604, 0.617], [0.250, 0.921, 0.890], [0.750, 0.079, 0.110], [0.250, 0.354, 0.871], [0.750, 0.646, 0.129]]
}

***

[3]
{
  "formula": "BeInIrO6",
  "functional": "PBE",
  "state": "optimized geometry",
  "sg": "P-31c (163)",
  "formation_energy_uncorrected_kj_per_mol_fu": -983,
  "lattice": [[4.932, 0.000, 0.000], [-2.466, 4.271, 0.000], [0.000, 0.000, 9.186]],
  "species": ["Be", "Be", "In", "In", "Ir", "Ir", "O", "O", "O", "O", "O", "O", "O", "O", "O", "O", "O", "O"],
  "frac_coords": [[0.667, 0.333, 0.250], [0.333, 0.667, 0.750], [0.000, 0.000, 0.000], [0.000, 0.000, 0.500], [0.333, 0.667, 0.250], [0.667, 0.333, 0.750], [0.646, 0.632, 0.140], [0.987, 0.354, 0.140], [0.354, 0.987, 0.640], [0.013, 0.646, 0.860], [0.368, 0.354, 0.360], [0.987, 0.632, 0.360], [0.632, 0.987, 0.860], [0.646, 0.013, 0.360], [0.013, 0.368, 0.640], [0.368, 0.013, 0.140], [0.632, 0.646, 0.640], [0.354, 0.368, 0.860]]
}

***

[4]
{
  "formula": "BaNiSe3",
  "functional": "PBE",
  "state": "optimized geometry",
  "relative_energy_ev_per_atom": 0.000,
  "sg": "Pm-3m (221)",
  "formation_energy_uncorrected_kj_per_mol_fu": -374,
  "lattice": [[-1.896, 3.990, -2.161], [-3.735, -2.703, -1.712], [-2.577, 0.981, 4.073]],
  "species": ["Ni", "Ba", "Se", "Se", "Se"],
  "frac_coords": [[0.000, 0.000, 0.000], [0.500, 0.500, 0.500], [0.000, 0.500, 0.000], [0.000, 0.000, 0.500], [0.500, 0.000, 0.000]]
}

***

[5]
{
  "formula": "TiBSb2Te",
  "functional": "PBE",
  "state": "optimized geometry",
  "relative_energy_ev_per_atom": 0.250,
  "sg": "P4/mmm (123)",
  "formation_energy_uncorrected_kj_per_mol_fu": 488,
  "lattice": [[5.252, 0.000, 0.000], [0.000, 5.252, 0.000], [0.000, 0.000, 5.277]],
  "species": ["Sb", "Sb", "B", "Te", "Ti"],
  "frac_coords": [[0.000, 0.500, 0.000], [0.500, 0.000, 0.000], [0.500, 0.500, 0.500], [0.000, 0.000, 0.500], [0.000, 0.000, 0.000]]
}

***

[6]
{
  "formula": "Tm3ScPb",
  "functional": "PBE",
  "state": "optimized geometry",
  "relative_energy_ev_per_atom": 0.000,
  "sg": "P-1 (2)",
  "ef_ev_per_atom": -0.17,
  "lattice": [[-2.603, 3.475, 3.040], [-0.037, -1.513, 6.267], [7.012, 5.965, -0.749]],
  "species": ["Tm", "Tm", "Tm", "Tm", "Tm", "Tm", "Sc", "Sc", "Pb", "Pb"],
  "frac_coords": [[0.322, 0.923, 0.364], [0.492, 0.583, 0.986], [0.196, 0.177, 0.073], [0.698, 0.173, 0.585], [0.366, 0.837, 0.695], [0.990, 0.588, 0.474], [0.865, 0.839, 0.183], [0.823, 0.922, 0.876], [0.087, 0.394, 0.777], [0.601, 0.367, 0.282]]
}

***

[7]
{
  "formula": "Tb3Pr4Ho5",
  "functional": "PBE",
  "state": "optimized geometry",
  "sg": "C2/m (12)",
  "ef_ev_per_atom": 0.22,
  "lattice": [[5.962, 0.000, 0.000], [2.981, 7.629, -2.675], [2.981, -0.840, 9.215]],
  "species": ["Tb", "Tb", "Tb", "Pr", "Pr", "Pr", "Pr", "Ho", "Ho", "Ho", "Ho", "Ho"],
  "frac_coords": [[0.524, 0.688, 0.263], [0.000, 0.500, 0.500], [0.476, 0.312, 0.737], [0.861, 0.223, 0.054], [0.167, 0.048, 0.617], [0.833, 0.952, 0.383], [0.139, 0.777, 0.946], [0.631, 0.940, 0.799], [0.500, 0.500, 0.500], [0.213, 0.457, 0.116], [0.787, 0.543, 0.884], [0.369, 0.060, 0.201]]
}

***

[8]
{
  "formula": "LiPm2PbSe4",
  "functional": "PBE",
  "state": "optimized geometry",
  "sg": "P2/m (10)",
  "formation_energy_uncorrected_kj_per_mol_fu": -1067,
  "lattice": [[4.210, 0.000, 0.000], [0.000, 7.429, -0.219], [0.000, 2.542, 6.775]],
  "species": ["Li", "Pm", "Pm", "Pb", "Se", "Se", "Se", "Se"],
  "frac_coords": [[0.000, 0.500, 0.500], [0.000, 0.000, 0.000], [0.500, 0.000, 0.500], [0.500, 0.500, 0.000], [0.000, 0.753, 0.739], [0.000, 0.247, 0.261], [0.500, 0.752, 0.256], [0.500, 0.248, 0.744]]
}

***

[9]
{
  "formula": "TePt2Rh",
  "functional": "PBE",
  "state": "optimized geometry",
  "relative_energy_ev_per_atom": 0.337,
  "sg": "R-3m (166)",
  "formation_energy_uncorrected_kj_per_mol_fu": 122,
  "lattice": [[-2.176, 8.356, -3.323], [-3.265, 6.653, -5.539], [-4.929, 7.188, -3.103]],
  "species": ["Te", "Pt", "Pt", "Rh"],
  "frac_coords": [[0.000, 0.000, 0.000], [0.754, 0.754, 0.754], [0.246, 0.246, 0.246], [0.500, 0.500, 0.500]]
}

***

[10]
{
  "formula": "PrZnCdPd3",
  "functional": "PBE",
  "state": "optimized geometry",
  "sg": "Cmcm (63)",
  "ef_ev_per_atom": -0.42,
  "lattice": [[5.762, 0.000, 0.000], [0.000, 5.602, 0.000], [0.000, -2.801, 7.479]],
  "species": ["Pr", "Pr", "Zn", "Zn", "Cd", "Cd", "Pd", "Pd", "Pd", "Pd", "Pd", "Pd"],
  "frac_coords": [[0.750, 0.348, 0.696], [0.250, 0.652, 0.304], [0.250, 0.395, 0.790], [0.750, 0.605, 0.210], [0.250, 0.863, 0.725], [0.750, 0.137, 0.275], [0.250, 0.223, 0.445], [0.000, 0.240, 0.000], [0.500, 0.760, 0.000], [0.500, 0.240, 0.000], [0.000, 0.760, 0.000], [0.750, 0.777, 0.555]]
}

***

[11]
{
  "formula": "BaLi2Ga6",
  "functional": "PBE",
  "state": "optimized geometry",
  "relative_energy_ev_per_atom": 0.000,
  "sg": "Immm (71)",
  "ef_ev_per_atom": -0.30,
  "lattice": [[-0.542, -1.579, 4.079], [-2.177, -6.502, -2.806], [6.997, 2.147, -0.621]],
  "species": ["Ba", "Li", "Li", "Ga", "Ga", "Ga", "Ga", "Ga", "Ga"],
  "frac_coords": [[0.000, 0.500, 0.000], [0.881, 0.881, 0.762], [0.119, 0.119, 0.238], [0.698, 0.895, 0.395], [0.302, 0.105, 0.605], [0.302, 0.500, 0.605], [0.500, 0.164, 0.000], [0.500, 0.836, 0.000], [0.698, 0.500, 0.395]]
}

***

[12]
{
  "formula": "FePSe",
  "functional": "PBE",
  "state": "optimized geometry",
  "sg": "F-43m (216)",
  "formation_energy_uncorrected_kj_per_mol_fu": 180,
  "lattice": [[4.198, 0.000, 0.000], [2.099, 3.635, 0.000], [2.099, 1.212, 3.427]],
  "species": ["Fe", "P", "Se"],
  "frac_coords": [[0.500, 0.500, 0.500], [0.750, 0.750, 0.750], [0.000, 0.000, 0.000]]
}

***

[13]
{
  "formula": "BaNiRu2",
  "functional": "PBE",
  "state": "optimized geometry",
  "relative_energy_ev_per_atom": 0.472,
  "sg": "Pmmm (47)",
  "ef_ev_per_atom": 0.72,
  "lattice": [[-0.117, 2.385, 1.729], [-1.989, -1.682, 2.186], [6.132, -2.403, 3.731]],
  "species": ["Ba", "Ni", "Ru", "Ru"],
  "frac_coords": [[0.500, 0.500, 0.250], [0.500, 0.500, 0.750], [0.000, 0.000, 0.913], [0.000, 0.000, 0.587]]
}

***

[14]
{
  "formula": "CaErTlHg",
  "functional": "PBE",
  "state": "optimized geometry",
  "sg": "F-43m (216)",
  "ef_ev_per_atom": -0.45,
  "lattice": [[5.336, 0.000, 0.000], [2.668, 4.621, 0.000], [2.668, 1.540, 4.357]],
  "species": ["Tl", "Ca", "Hg", "Er"],
  "frac_coords": [[0.500, 0.500, 0.500], [0.250, 0.250, 0.250], [0.000, 0.000, 0.000], [0.750, 0.750, 0.750]]
}

***

[15]
{
  "formula": "MnIr4Pb",
  "functional": "PBE",
  "state": "optimized geometry",
  "sg": "F-43m (216)",
  "ef_ev_per_atom": 0.39,
  "lattice": [[2.696, -4.487, -0.830], [-0.949, -2.899, -4.335], [3.615, -0.243, -3.869]],
  "species": ["Mn", "Ir", "Ir", "Ir", "Ir", "Pb"],
  "frac_coords": [[0.750, 0.750, 0.750], [0.874, 0.375, 0.375], [0.375, 0.375, 0.874], [0.375, 0.874, 0.375], [0.375, 0.375, 0.375], [0.000, 0.000, 0.000]]
}

***

[16]
{
  "formula": "BiSbBr2",
  "functional": "PBE",
  "state": "optimized geometry",
  "relative_energy_ev_per_atom": 0.000,
  "sg": "R-3m (166)",
  "formation_energy_uncorrected_kj_per_mol_fu": -52,
  "lattice": [[2.069, 0.000, 10.691], [-1.035, 1.792, 10.691], [-1.035, -1.792, 10.691]],
  "species": ["Sb", "Bi", "Br", "Br"],
  "frac_coords": [[0.000, 0.000, 0.000], [0.500, 0.500, 0.500], [0.912, 0.912, 0.912], [0.088, 0.088, 0.088]]
}

***

[17]
{
  "formula": "Sm6Bi3Te2Se",
  "functional": "PBE",
  "state": "optimized geometry",
  "sg": "C2/m (12)",
  "formation_energy_uncorrected_kj_per_mol_fu": -1421,
  "lattice": [[-0.929, -3.128, 3.043], [1.325, -6.344, -6.117], [9.305, 2.732, 2.379]],
  "species": ["Sm", "Sm", "Sm", "Sm", "Sm", "Sm", "Bi", "Bi", "Bi", "Te", "Te", "Se"],
  "frac_coords": [[0.343, 0.921, 0.686], [0.665, 0.586, 0.329], [0.657, 0.079, 0.314], [0.998, 0.234, 0.996], [0.002, 0.766, 0.004], [0.335, 0.414, 0.671], [0.500, 0.500, 0.000], [0.829, 0.163, 0.658], [0.171, 0.837, 0.342], [0.834, 0.665, 0.668], [0.166, 0.335, 0.332], [0.500, 0.000, 0.000]]
}

***

[18]
{
  "formula": "MnTl2Br",
  "functional": "PBE",
  "state": "optimized geometry",
  "relative_energy_ev_per_atom": 0.321,
  "sg": "F-43m (216)",
  "formation_energy_uncorrected_kj_per_mol_fu": 118,
  "lattice": [[5.401, 0.000, 0.000], [2.701, 4.678, 0.000], [2.701, 1.559, 4.410]],
  "species": ["Br", "Mn", "Tl", "Tl"],
  "frac_coords": [[0.500, 0.500, 0.500], [0.750, 0.750, 0.750], [0.000, 0.000, 0.000], [0.250, 0.250, 0.250]]
}

***

[19]
{
  "formula": "HfCr3Ga",
  "functional": "PBE",
  "state": "optimized geometry",
  "relative_energy_ev_per_atom": 0.000,
  "sg": "Pm-3m (221)",
  "ef_ev_per_atom": 1.06,
  "lattice": [[-4.015, 0.726, 1.932], [1.927, -0.192, 4.078], [0.738, 4.451, -0.139]],
  "species": ["Cr", "Cr", "Cr", "Hf", "Ga"],
  "frac_coords": [[0.000, 0.500, 0.000], [0.000, 0.000, 0.500], [0.500, 0.000, 0.000], [0.500, 0.500, 0.500], [0.000, 0.000, 0.000]]
}

***

[20]
{
  "formula": "SrLi2HgBr6",
  "functional": "PBE",
  "state": "optimized geometry",
  "sg": "R3 (146)",
  "formation_energy_uncorrected_kj_per_mol_fu": -1284,
  "lattice": [[-6.766, -0.874, 2.263], [-2.316, -6.512, 1.978], [-1.135, -1.279, 7.525]],
  "species": ["Sr", "Li", "Li", "Hg", "Br", "Br", "Br", "Br", "Br", "Br"],
  "frac_coords": [[0.813, 0.812, 0.563], [0.508, 0.508, 0.477], [0.014, 0.014, 0.957], [0.312, 0.312, 0.063], [0.613, 0.249, 0.237], [0.249, 0.901, 0.237], [0.901, 0.613, 0.237], [0.372, 0.738, 0.748], [0.738, 0.141, 0.748], [0.141, 0.372, 0.749]]
}

***

[21]
{
  "formula": "Cd4Os5",
  "functional": "PBE",
  "state": "optimized geometry",
  "sg": "I4/mmm (139)",
  "ef_ev_per_atom": 0.66,
  "lattice": [[4.359, -3.955, 2.609], [-5.870, 2.460, 0.968], [-1.706, -3.946, -4.792]],
  "species": ["Cd", "Cd", "Cd", "Cd", "Os", "Os", "Os", "Os", "Os"],
  "frac_coords": [[0.324, 0.000, 0.324], [0.676, 0.000, 0.676], [0.000, 0.676, 0.676], [0.000, 0.324, 0.324], [0.000, 0.000, 0.000], [0.353, 0.647, 0.000], [0.647, 0.647, 0.295], [0.353, 0.353, 0.705], [0.647, 0.353, 0.000]]
}

***

[22]
{
  "formula": "ReAgIr2",
  "functional": "PBE",
  "state": "optimized geometry",
  "relative_energy_ev_per_atom": 0.258,
  "sg": "P4mm (99)",
  "ef_ev_per_atom": 0.29,
  "lattice": [[-1.172, 0.935, -2.296], [1.336, -1.901, -1.456], [-6.206, -5.173, 1.062]],
  "species": ["Re", "Ir", "Ir", "Ag"],
  "frac_coords": [[0.000, 0.000, 0.483], [0.000, 0.000, 0.014], [0.500, 0.500, 0.252], [0.500, 0.500, 0.751]]
}

***

[23]
{
  "formula": "SrLi2YTi",
  "functional": "PBE",
  "state": "optimized geometry",
  "sg": "P4/mmm (123)",
  "ef_ev_per_atom": 1.29,
  "lattice": [[-2.902, -0.792, 3.934], [-3.686, -3.116, -3.347], [2.538, -4.123, 1.043]],
  "species": ["Y", "Sr", "Li", "Li", "Ti"],
  "frac_coords": [[0.000, 0.500, 0.000], [0.000, 0.000, 0.000], [0.000, 0.000, 0.500], [0.500, 0.000, 0.000], [0.500, 0.500, 0.500]]
}

***

[24]
{
  "formula": "Al8FeCo2",
  "functional": "PBE",
  "state": "optimized geometry",
  "sg": "Immm (71)",
  "ef_ev_per_atom": -0.33,
  "lattice": [[-2.987, -1.662, -2.011], [3.887, 0.283, -6.008], [1.539, -4.168, 5.068]],
  "species": ["Al", "Al", "Al", "Al", "Al", "Al", "Al", "Al", "Fe", "Co", "Co"],
  "frac_coords": [[0.661, 0.879, 0.322], [0.339, 0.558, 0.678], [0.139, 0.139, 0.277], [0.000, 0.320, 0.000], [0.861, 0.861, 0.723], [0.661, 0.442, 0.322], [0.339, 0.121, 0.678], [0.000, 0.680, 0.000], [0.500, 0.000, 0.000], [0.201, 0.701, 0.402], [0.799, 0.299, 0.598]]
}

***

[25]
{
  "formula": "NiMo2W",
  "functional": "PBE",
  "state": "optimized geometry",
  "relative_energy_ev_per_atom": 0.126,
  "sg": "Immm (71)",
  "ef_ev_per_atom": 0.17,
  "lattice": [[5.012, 0.001, -0.005], [2.084, 4.558, 0.005], [-3.162, -2.881, 2.612]],
  "species": ["Mo", "Mo", "Ni", "W"],
  "frac_coords": [[0.994, 0.994, 0.000], [0.506, 0.506, 0.000], [0.250, 0.750, 0.500], [0.750, 0.250, 0.500]]
}